Entry 1:
VASP calculation (PBE) on an optimized crystal structure of SrFe2CuP.

Cell: 4.8724 5.3338 4.8724 Å, 90.00 90.00 90.00°
With the nearest neighbours (Å) after each atom.
Fractional coordinates of all 5 atoms:
P1 0.0000 0.5000 0.0000  2 Sr 2.67
Fe1 0.5000 0.0000 0.0000  2 Sr 2.44
Cu1 0.5000 0.5000 0.5000  4 P 3.45, 8 Fe 3.61
Sr1 0.0000 0.0000 0.0000  4 Fe 2.44, 2 P 2.67
Fe2 0.0000 0.0000 0.5000  2 Sr 2.44

Output
**Formation enthalpy at 0 K**: 2.178 eV per atom
**Space-group type**: P4/mmm (123)

Entry 2:
VASP calculation (PBE) on an optimized crystal structure of ErTm2Te.

Cell: 3.8772 6.3037 9.7281 Å, 90.00 90.00 107.92°
With the nearest neighbours (Å) after each atom.
Fractional coordinates of all 8 atoms:
Tm1 0.3657 0.7311 0.5363  3 Te 3.09-3.19, 3 Tm 3.30-3.46
Er1 0.9453 0.8905 0.2500  3 Te 3.18-3.48, 4 Tm 3.53
Tm2 0.6343 0.2689 0.4637  3 Te 3.09-3.19, 3 Tm 3.30-3.46
Er2 0.0547 0.1095 0.7500  3 Te 3.18-3.48, 4 Tm 3.53
Tm3 0.3657 0.7311 0.9637  3 Te 3.09-3.19, 3 Tm 3.30-3.46
Tm4 0.6343 0.2689 0.0363  3 Te 3.09-3.19, 3 Tm 3.30-3.46
Te1 0.7646 0.5290 0.7500  6 Tm 3.09-3.19, 2 Er 3.18
Te2 0.2354 0.4710 0.2500  6 Tm 3.09-3.19, 2 Er 3.18

Output
**Formation energy (no corrections)**: -0.62 eV/atom
**Space-group type**: Cmcm (63)
**Relative energy among the computed polymorphs**: 0 meV/atom

Entry 3:
VASP calculation (PBE) on an optimized crystal structure of Ca3HgC.

Cell: 5.0875 5.0875 5.0875 Å, 90.00 90.00 90.00°
With the nearest neighbours (Å) after each atom.
Fractional coordinates of all 5 atoms:
C1 0.0000 0.0000 0.0000  6 Ca 2.54
Ca1 0.5000 0.0000 0.0000  2 C 2.54
Ca2 0.0000 0.0000 0.5000  2 C 2.54
Ca3 0.0000 0.5000 0.0000  2 C 2.54
Hg1 0.5000 0.5000 0.5000  12 Ca 3.60

Output
**Formation enthalpy at 0 K**: -0.030 eV per atom
**Space-group type**: Pm-3m (221)
**Relative energy among the computed polymorphs**: 0 meV/atom

Entry 4:
VASP calculation (PBE) on an optimized crystal structure of TmZrCoPd.

Cell: 4.7118 4.7118 4.7118 Å, 60.00 60.00 60.00°
With the nearest neighbours (Å) after each atom.
Fractional coordinates of all 4 atoms:
Zr1 0.7500 0.7500 0.7500  4 Pd 2.89, 4 Co 2.89
Pd1 0.0000 0.0000 0.0000  4 Tm 2.89, 4 Zr 2.89
Tm1 0.2500 0.2500 0.2500  4 Co 2.89, 4 Pd 2.89
Co1 0.5000 0.5000 0.5000  4 Zr 2.89, 4 Tm 2.89

Output
**Formation enthalpy at 0 K**: -0.457 eV per atom
**Space-group type**: F-43m (216)

Entry 5:
VASP calculation (PBE) on an optimized crystal structure of InHgTe.

Cell: 5.2041 5.2041 5.2041 Å, 60.00 60.00 60.00°
With the nearest neighbours (Å) after each atom.
Fractional coordinates of all 3 atoms:
In1 0.7500 0.7500 0.7500  4 Te 3.19, 4 Hg 3.19
Hg1 0.5000 0.5000 0.5000  4 In 3.19
Te1 0.0000 0.0000 0.0000  4 In 3.19

Output
**Formation energy (no corrections)**: -0.03 eV/atom
**Space-group type**: F-43m (216)
**Relative energy among the computed polymorphs**: 130 meV/atom

Entry 6:
VASP calculation (PBE) on an optimized crystal structure of Na3AsI.

Cell: 5.6203 5.6203 5.6203 Å, 90.00 90.00 90.00°
With the nearest neighbours (Å) after each atom.
Fractional coordinates of all 5 atoms:
Na1 0.0000 0.5000 0.0000  2 As 2.81
Na2 0.0000 0.0000 0.5000  2 As 2.81
Na3 0.5000 0.0000 0.0000  2 As 2.81
I1 0.5000 0.5000 0.5000  12 Na 3.97
As1 0.0000 0.0000 0.0000  6 Na 2.81

Output
**Formation energy (no corrections)**: -0.47 eV/atom
**Space-group type**: Pm-3m (221)
**Relative energy among the computed polymorphs**: 148 meV/atom

Entry 7:
VASP calculation (PBE) on an optimized crystal structure of AsC3.

Cell: 2.8070 2.8070 4.5220 Å, 90.00 90.00 90.00°
With the nearest neighbours (Å) after each atom.
Fractional coordinates of all 4 atoms:
As1 0.0000 0.0000 0.0417  4 C 2.00
C1 0.5000 0.0000 0.3569  2 C 1.63
C2 0.5000 0.5000 0.5417  4 C 1.63
C3 0.0000 0.5000 0.7264  2 C 1.63

Output
**Formation enthalpy at 0 K**: 1.448 eV per atom
**Space-group type**: P-4m2 (115)
**Relative energy among the computed polymorphs**: 686 meV/atom

Entry 8:
VASP calculation (PBE) on an optimized crystal structure of LaAlCd2.

Cell: 4.6408 3.2776 6.7129 Å, 76.29 90.00 90.00°
With the nearest neighbours (Å) after each atom.
Fractional coordinates of all 4 atoms:
La1 0.0000 0.5454 0.5278  4 Al 3.23, 2 La 3.28, 7 Cd 3.42-3.54
Cd1 0.5000 0.2061 0.2054  6 Cd 3.11-3.28, 2 Al 3.30-3.34
Cd2 0.0000 0.8164 0.0037  2 Al 2.80, 2 Cd 3.11
Al1 0.5000 0.9321 0.7631  2 Cd 2.80

Output
**Formation enthalpy at 0 K**: -0.194 eV per atom
**Space-group type**: Pm (6)

Entry 9:
VASP calculation (PBE) on an optimized crystal structure of Ga2HgBr8.

Cell: 9.2735 10.6621 10.8669 Å, 72.21 64.74 64.22°
With the nearest neighbours (Å) after each atom.
Fractional coordinates of all 22 atoms:
Ga1 0.6641 0.6335 0.5390  4 Br 2.30-2.44
Br1 0.6173 0.2371 0.4383  1 Ga 2.30
Ga2 0.3359 0.3665 0.4610  4 Br 2.30-2.44
Br2 0.6753 0.4552 0.7355  1 Ga 2.39
Br3 0.2927 0.2629 0.0617  1 Ga 2.30
Br4 0.1885 0.2183 0.4756  1 Ga 2.44
Ga3 0.1634 0.1335 0.0390  4 Br 2.30-2.44
Br5 0.1176 0.7183 0.9756  1 Ga 2.44
Hg1 0.9941 0.7500 0.2500  6 Br 2.77-2.96
Br6 0.3247 0.5448 0.2645  1 Ga 2.39
Ga4 0.8366 0.8665 0.9610  4 Br 2.30-2.44
Br7 0.7073 0.7371 0.9383  1 Ga 2.30
Br8 0.8660 0.0448 0.7645  1 Ga 2.39
Br9 0.8115 0.7817 0.5244  1 Ga 2.44
Br10 0.3827 0.7629 0.5617  1 Ga 2.30
Br11 0.2993 0.0365 0.8307  1 Ga 2.38
Br12 0.8336 0.5365 0.3307  1 Ga 2.38
Br13 0.7007 0.9635 0.1693  1 Ga 2.38
Br14 0.1340 0.9552 0.2355  1 Ga 2.39
Br15 0.1664 0.4635 0.6693  1 Ga 2.38
Br16 0.8824 0.2817 0.0244  1 Ga 2.44
Hg2 0.0059 0.2500 0.7500  6 Br 2.77-2.96

Output
**Formation energy (no corrections)**: -0.71 eV/atom
**Space-group type**: C2/c (15)
**Relative energy among the computed polymorphs**: 0 meV/atom

Entry 10:
VASP calculation (PBE) on an optimized crystal structure of NbCdGa2.

Cell: 7.2559 7.2559 5.9091 Å, 52.12 52.12 90.00°
With the nearest neighbours (Å) after each atom.
Fractional coordinates of all 8 atoms:
Ga1 0.1220 0.6250 0.2500  2 Cd 2.65, 2 Nb 2.68, 2 Ga 2.93
Cd1 0.7500 0.2500 0.5000  4 Ga 2.65, 2 Nb 2.93
Cd2 0.0000 0.0000 0.0000  4 Ga 2.65, 2 Nb 2.93
Ga2 0.8750 0.8780 0.7500  2 Cd 2.65, 2 Nb 2.68, 2 Ga 2.93
Ga3 0.3750 0.3720 0.7500  2 Cd 2.65, 2 Nb 2.68, 2 Ga 2.93
Nb1 0.2500 0.7500 0.5000  4 Ga 2.68, 2 Cd 2.93
Nb2 0.5000 0.5000 0.0000  4 Ga 2.68, 2 Cd 2.93
Ga4 0.6280 0.1250 0.2500  2 Cd 2.65, 2 Nb 2.68, 2 Ga 2.93

Output
**Formation enthalpy at 0 K**: 0.264 eV per atom
**Space-group type**: I-42d (122)

Entry 11:
VASP calculation (PBE) on an optimized crystal structure of Dy2InSe.

Cell: 3.9159 3.9159 8.3339 Å, 90.00 103.59 120.00°
With the nearest neighbours (Å) after each atom.
Fractional coordinates of all 4 atoms:
Dy1 0.5203 0.2601 0.7804  3 Se 2.87, 3 In 3.19
Dy2 0.4797 0.7398 0.2195  3 Se 2.87, 3 In 3.19
In1 0.0000 0.5000 0.5001  6 Dy 3.19
Se1 0.0000 0.0000 0.0000  6 Dy 2.87

Output
**Formation energy (no corrections)**: -1.08 eV/atom
**Space-group type**: R-3m (166)
**Relative energy among the computed polymorphs**: 24 meV/atom

Entry 12:
VASP calculation (PBE) on an optimized crystal structure of BaSbP2.

Cell: 4.0591 4.0591 7.4364 Å, 90.00 90.00 90.00°
With the nearest neighbours (Å) after each atom.
Fractional coordinates of all 4 atoms:
P1 0.5000 0.5000 0.3831  4 Sb 2.92
Sb1 0.0000 0.0000 0.3095  1 P 2.44
P2 0.0000 0.0000 0.9809  1 Sb 2.44
Ba1 0.5000 0.5000 0.8264  5 P 3.09-3.30

Output
**Formation energy (no corrections)**: -0.19 eV/atom
**Space-group type**: P4mm (99)